# Rb2VRhF6, optimized geometry, DFT GGA+U
data_Rb2VRhF6
_symmetry_space_group_name_H-M 'P 1'
_symmetry_Int_Tables_number 1
_cell_length_a 6.1369
_cell_length_b 6.1369
_cell_length_c 6.1369
_cell_angle_alpha 119.55
_cell_angle_beta 119.55
_cell_angle_gamma 90.78
loop_
_symmetry_equiv_pos_as_xyz
'x,y,z'
loop_
_atom_site_label
_atom_site_type_symbol
_atom_site_fract_x
_atom_site_fract_y
_atom_site_fract_z
Rb1 Rb 0.2500 0.7500 0.5000
Rb2 Rb 0.7500 0.2500 0.5000
V1 V 0.0000 0.0000 0.0000
Rh1 Rh 0.5000 0.5000 0.0000
F1 F 0.2300 0.2300 0.0000
F2 F 0.2305 0.2305 0.4611
F3 F 0.2305 0.7695 0.0000
F4 F 0.7695 0.2305 0.0000
F5 F 0.7695 0.7695 0.5389
F6 F 0.7700 0.7700 0.0000
# Electronic total energy ... -50.044 eV per formula unit
# Spin magnetization ... 0.200 μB/atom